Crystalline LiCuN2 at its relaxed geometry, computed with PBE-GGA.

Output
E above lowest polymorph = 0.000 eV per formula unit
DOS at the Fermi energy = 0.476 states/eV/f.u.
formation energy without anion corrections = 3.510 eV per formula unit
M_tot = 0.00 Bohr magnetons per cell

Cell lengths 5.9322, 5.9322, 5.9322 Å; angles 29.16, 29.16, 29.16 degrees
With the nearest neighbours (Å) after each atom.
Atoms (fractional coordinates):
Li  0.0000  0.0000  0.0000  2 N 1.90
Cu  0.5000  0.5000  0.5000  6 N 1.96
N  0.1115  0.1115  0.1115  1 Li 1.90, 3 Cu 1.96
N  0.8885  0.8885  0.8885  1 Li 1.90, 3 Cu 1.96

Crystalline LiCuN at its relaxed geometry, computed with PBE-GGA.

Output
E above lowest polymorph = 0.000 eV per formula unit
DOS at the Fermi energy = 0.869 states/eV/f.u.
formation energy without anion corrections = 0.488 eV per formula unit
M_tot = 0.00 Bohr magnetons per cell

Cell lengths 2.8707, 2.8707, 3.9336 Å; angles 90.00, 90.00, 90.00 degrees
With the nearest neighbours (Å) after each atom.
Atoms (fractional coordinates):
Li  0.0000  0.0000  0.0000  2 N 1.97
Cu  0.5000  0.5000  0.5000  4 N 2.03
N  0.0000  0.0000  0.5000  2 Li 1.97, 4 Cu 2.03